Record 1
ZrCrAg2 | GGA-PBE | relaxed

The distance to the lowest polymorph of the same formula comes out at 0.23 eV per formula unit.

It has space group F-43m (No. 216), with a = 6.632 Å, b = 6.632 Å, c = 6.632 Å, α = 90.00°, β = 90.00° and γ = 90.00°. The distinct sites, in fractional coordinates, are Zr at (0.000, 0.000, 0.000), Cr at (0.250, 0.250, 0.750), Ag at (0.000, 0.000, 0.500) and Ag at (0.250, 0.250, 0.250).

***

Record 2
Ac6Pt3S2Cl | GGA-PBE | relaxed

The calculation puts the energy relative to the elements, uncorrected at -1.509 eV per atom.

It has space group C2/m (No. 12), with a = 19.796 Å, b = 4.344 Å, c = 9.147 Å, α = 90.00°, β = 107.44° and γ = 90.00°. The distinct sites, in fractional coordinates, are Ac at (0.003, 0.000, 0.227), Ac at (0.163, 0.500, 0.092), Ac at (0.176, 0.500, 0.577), Pt at (0.000, 0.500, 0.000), Pt at (0.165, 0.000, 0.333), S at (0.165, 0.000, 0.831) and Cl at (0.000, 0.500, 0.500).

***

Record 3
LuMgTlIn | GGA-PBE | relaxed

The calculation puts the total energy at -2.995 eV/atom.

It has space group F-43m (No. 216), with a = 7.351 Å, b = 7.351 Å, c = 7.351 Å, α = 90.00°, β = 90.00° and γ = 90.00°. The distinct sites, in fractional coordinates, are Lu at (0.000, 0.000, 0.000), Mg at (0.000, 0.000, 0.500), Tl at (0.250, 0.250, 0.250) and In at (0.250, 0.250, 0.750).

***

| no. | spin magnetization (μB/f.u.) |
| --- | --- |
| 1 | 4.001 |
| 2 | 0.000 |
| 3 | 0.000 |